This record from Alexandria via LeMat-Bulk describes crystalline Y4Sc3 at its relaxed geometry. The functional is PBE.

a b c (Å): 10.905 4.876 7.654
angles (deg): 90.00 97.79 90.00
Fractional positions:
Y 0.069 0.000 0.228
Y 0.144 0.500 0.924
Y 0.356 0.000 0.076
Y 0.431 0.500 0.772
Y 0.569 0.500 0.228
Y 0.644 0.000 0.924
Y 0.856 0.500 0.076
Y 0.931 0.000 0.772
Sc 0.000 0.500 0.500
Sc 0.218 0.000 0.636
Sc 0.282 0.500 0.364
Sc 0.500 0.000 0.500
Sc 0.718 0.500 0.636
Sc 0.782 0.000 0.364

Output
Density of states at the Fermi level   1.72 states/eV per atom
Polymorph energy (0 for the lowest one)   0.004 eV per atom
Total moment   0.0 μB per cell


This record from Alexandria via LeMat-Bulk describes crystalline Y3Sc5 at its relaxed geometry. The functional is PBE.

a b c (Å): 3.405 3.405 18.832
angles (deg): 90.00 90.00 90.00
Fractional positions:
Y 0.000 0.000 0.000
Y 0.500 0.500 0.140
Y 0.500 0.500 0.860
Sc 0.000 0.000 0.269
Sc 0.000 0.000 0.500
Sc 0.000 0.000 0.731
Sc 0.500 0.500 0.384
Sc 0.500 0.500 0.616

Output
Density of states at the Fermi level   1.89 states/eV per atom
Polymorph energy (0 for the lowest one)   0.028 eV per atom
Total moment   0.0 μB per cell


This record from Alexandria via LeMat-Bulk describes crystalline Y4Sc3 at its relaxed geometry. The functional is PBE.

a b c (Å): 8.632 8.632 8.632
angles (deg): 113.48 113.48 113.48
Fractional positions:
Y 0.000 0.000 0.000
Y 0.041 0.594 0.736
Y 0.264 0.959 0.406
Y 0.406 0.264 0.959
Y 0.500 0.500 0.500
Y 0.594 0.736 0.041
Y 0.736 0.041 0.594
Y 0.959 0.406 0.264
Sc 0.102 0.232 0.532
Sc 0.232 0.532 0.102
Sc 0.468 0.898 0.768
Sc 0.532 0.102 0.232
Sc 0.768 0.468 0.898
Sc 0.898 0.768 0.468

Output
Density of states at the Fermi level   1.83 states/eV per atom
Polymorph energy (0 for the lowest one)   0.027 eV per atom
Total moment   0.1 μB per cell


This record from Alexandria via LeMat-Bulk describes crystalline Y3Sc4 at its relaxed geometry. The functional is PBE.

a b c (Å): 10.616 4.841 7.634
angles (deg): 90.00 98.79 90.00
Fractional positions:
Y 0.000 0.000 0.000
Y 0.075 0.500 0.716
Y 0.425 0.000 0.284
Y 0.500 0.500 0.000
Y 0.575 0.000 0.716
Y 0.925 0.500 0.284
Sc 0.144 0.000 0.434
Sc 0.213 0.500 0.149
Sc 0.287 0.000 0.851
Sc 0.356 0.500 0.566
Sc 0.644 0.500 0.434
Sc 0.713 0.000 0.149
Sc 0.787 0.500 0.851
Sc 0.856 0.000 0.566

Output
Density of states at the Fermi level   1.76 states/eV per atom
Polymorph energy (0 for the lowest one)   0.002 eV per atom
Total moment   0.0 μB per cell


Number 1: ΔH_f (0 K) 0.062 eV/atom. Number 2: ΔH_f (0 K) 0.062 eV/atom. Number 3: ΔH_f (0 K) 0.085 eV/atom. Number 4: ΔH_f (0 K) 0.063 eV/atom.